VASP calculation (PBE with a Hubbard U) on crystalline MnZn2TeO6 at its relaxed geometry.

Output
The density of states at the Fermi level comes out at 0.0065 states/eV per atom. The calculation puts the total energy at -5.646 eV/atom. Its space-group type is No. 15. The total magnetization is 0.500 μB/atom.

```
20
Lattice="5.468 -0.435 -0.452 1.155 6.634 0.176 1.155 -0.070 6.636" Properties=species:S:1:pos:R:3 pbc="T T T"
Mn 2.522 5.947 0.620
Mn 5.256 0.182 5.740
Zn 2.679 5.036 3.927
Zn 2.364 2.608 1.408
Zn 5.098 1.093 2.433
Zn 5.413 3.520 4.952
Te 2.522 1.612 4.797
Te 5.256 4.516 1.563
O 2.782 6.477 5.305
O 2.262 1.284 -0.083
O 4.996 -0.348 1.055
O 5.515 4.844 6.443
O 3.726 5.427 2.321
O 1.318 4.228 1.076
O 4.051 0.701 4.039
O 6.460 1.900 5.283
O 6.160 4.352 3.291
O 4.351 2.783 1.663
O 1.617 1.776 3.069
O 3.426 3.345 4.697
```